[1]
This record from OQMD describes an optimized crystal structure of AcCdMo. The functional is PBE-GGA.

Calculated values
crystal system = cubic
ΔE_f = 1.3021 eV per atom

Lattice parameters (Å, degrees): 7.3282 7.3282 7.3282 90.00 90.00 90.00
Space group F-43m (No. 216)
One atom of each set of equivalent atoms:
Ac  0.0000  0.0000  0.0000 x4
Cd  0.2500  0.2500  0.7500 x4
Mo  0.2500  0.2500  0.2500 x4

***

[2]
This record from OQMD describes an optimized crystal structure of Hf2Ga2Ir. The functional is PBE-GGA.

Calculated values
crystal system = tetragonal
final energy = -7.638 eV/atom

Lattice parameters (Å, degrees): 6.5704 6.5704 4.0086 90.00 90.00 90.00
Space group P4/mbm (No. 127)
One atom of each set of equivalent atoms:
Hf  0.1725  0.3275  0.0000 x4
Ga  0.1330  0.6330  0.5000 x4
Ir  0.0000  0.0000  0.5000 x2

***

[3]
This record from OQMD describes an optimized crystal structure of MgHgOsW. The functional is PBE-GGA.

Calculated values
crystal system = cubic
final energy = -5.520 eV/atom

Lattice parameters (Å, degrees): 6.4366 6.4366 6.4366 90.00 90.00 90.00
Space group F-43m (No. 216)
One atom of each set of equivalent atoms:
Mg  0.0000  0.0000  0.0000 x4
Hg  0.0000  0.0000  0.5000 x4
Os  0.2500  0.2500  0.7500 x4
W  0.2500  0.2500  0.2500 x4

***

[4]
This record from OQMD describes an optimized crystal structure of ZrTl2Os. The functional is PBE-GGA.

Calculated values
crystal system = cubic
final energy = -5.608 eV/atom

Lattice parameters (Å, degrees): 6.9221 6.9221 6.9221 90.00 90.00 90.00
Space group F-43m (No. 216)
One atom of each set of equivalent atoms:
Zr  0.0000  0.0000  0.0000 x4
Tl  0.0000  0.0000  0.5000 x4
Tl  0.2500  0.2500  0.2500 x4
Os  0.2500  0.2500  0.7500 x4

***

[5]
This record from OQMD describes an optimized crystal structure of PrSbPb2O6. The functional is PBE-GGA.

Calculated values
crystal system = triclinic
final energy = -6.271 eV/atom

Lattice parameters (Å, degrees): 5.3850 5.3893 5.7245 90.48 93.24 103.58
Space group P-1 (No. 2)
One atom of each set of equivalent atoms:
Pr  0.0000  0.0000  0.0000 x1
Sb  0.5000  0.5000  0.0000 x1
Pb  0.3052  0.6926  0.5308 x2
O  0.2731  0.2915  0.7397 x2
O  0.2788  0.7422  0.9657 x2
O  0.2983  0.3113  0.2622 x2

***

[6]
This record from OQMD describes an optimized crystal structure of FeBi2Te. The functional is PBE-GGA.

Calculated values
crystal system = cubic
final energy = -4.321 eV/atom

Lattice parameters (Å, degrees): 7.5016 7.5016 7.5016 90.00 90.00 90.00
Space group F-43m (No. 216)
One atom of each set of equivalent atoms:
Fe  0.0000  0.0000  0.0000 x4
Bi  0.0000  0.0000  0.5000 x4
Bi  0.2500  0.2500  0.2500 x4
Te  0.2500  0.2500  0.7500 x4

***

[7]
This record from OQMD describes an optimized crystal structure of KGeIr. The functional is PBE-GGA.

Calculated values
crystal system = cubic
final energy = -4.189 eV/atom

Lattice parameters (Å, degrees): 6.4841 6.4841 6.4841 90.00 90.00 90.00
Space group F-43m (No. 216)
One atom of each set of equivalent atoms:
K  0.0000  0.0000  0.0000 x4
Ge  0.0000  0.0000  0.5000 x4
Ir  0.2500  0.2500  0.7500 x4

***

[8]
This record from OQMD describes an optimized crystal structure of ReTcNO. The functional is PBE-GGA.

Calculated values
crystal system = orthorhombic
final energy = -9.469 eV/atom

Lattice parameters (Å, degrees): 2.7783 5.8282 5.5354 90.00 90.00 90.00
Space group Pmc2_1 (No. 26)
One atom of each set of equivalent atoms:
Re  0.0000  0.2268  0.0000 x2
Tc  0.5000  0.3802  0.6163 x2
N  0.5000  0.3058  0.2544 x2
O  0.0000  0.1032  0.6524 x2

***

[9]
This record from OQMD describes an optimized crystal structure of NaTmTeO. The functional is PBE-GGA.

Calculated values
crystal system = tetragonal
final energy = -5.507 eV/atom

Lattice parameters (Å, degrees): 4.0672 4.0672 10.0960 90.00 90.00 90.00
Space group P4/nmm (No. 129, origin choice 2)
One atom of each set of equivalent atoms:
Na  0.2500  0.7500  0.0000 x2
Tm  0.2500  0.2500  0.4027 x2
Te  0.2500  0.2500  0.7809 x2
O  0.2500  0.7500  0.5000 x2

***

[10]
This record from OQMD describes an optimized crystal structure of ErTmTlCu2. The functional is PBE-GGA.

Calculated values
crystal system = orthorhombic
final energy = -4.086 eV/atom

Lattice parameters (Å, degrees): 3.6687 4.0423 14.1442 90.00 90.00 90.00
Space group Amm2 (No. 38)
One atom of each set of equivalent atoms:
Er  0.0000  0.0000  0.0000 x2
Tm  0.0000  0.0000  0.2710 x2
Tl  0.5000  0.0000  0.6356 x2
Cu  0.5000  0.0000  0.4339 x2
Cu  0.5000  0.0000  0.8360 x2

***

[11]
This record from OQMD describes an optimized crystal structure of CsPdO3. The functional is PBE-GGA.

Calculated values
crystal system = tetragonal
final energy = -4.282 eV/atom

Lattice parameters (Å, degrees): 3.9936 3.9936 5.4604 90.00 90.00 90.00
Space group P4mm (No. 99)
One atom of each set of equivalent atoms:
Cs  0.0000  0.0000  0.0000 x1
Pd  0.5000  0.5000  0.5305 x1
O  0.0000  0.0000  0.4942 x1
O  0.0000  0.5000  0.4713 x2

***

[12]
This record from OQMD describes an optimized crystal structure of ReSnO3. The functional is PBE-GGA.

Calculated values
crystal system = trigonal
final energy = -7.349 eV/atom

Lattice parameters (Å, degrees): 5.3868 5.3868 17.7157 90.00 90.00 120.00
Space group R-3 (No. 148, hexagonal axes)
One atom of each set of equivalent atoms:
Re  0.0000  0.0000  0.1666 x6
Sn  0.0000  0.0000  0.3789 x6
O  0.0022  0.3575  0.5604 x18